No. 1
! Rb3U3MnSe8 (GGA-PBE, relaxed); values from VASP
! M_tot   12.00 μB/cell
! Energy relative to the elements, uncorrected   -1122 meV per atom
! Calculated volume   32.44 Å³ per atom
&SYSTEM
  ibrav = 0, nat = 15, ntyp = 4
/
ATOMIC_SPECIES
Se 78.96 Se.upf
U 238.03 U.upf
Rb 85.47 Rb.upf
Mn 54.94 Mn.upf
ATOMIC_POSITIONS angstrom
Se 3.415 2.542 3.410
Se 4.189 5.595 0.962
Se 0.944 5.987 3.250
Se 3.427 -0.089 0.204
Se 6.672 -0.481 -2.085
Se 1.073 3.317 -0.047
Se 4.201 2.964 -2.245
Se 6.543 2.189 1.212
U 3.934 0.141 -2.635
U 3.808 2.753 0.583
U 1.395 6.122 0.427
Rb 2.413 -3.369 0.155
Rb 0.000 0.000 0.000
Rb 2.287 -0.757 3.373
Mn 1.521 3.510 -2.790
CELL_PARAMETERS angstrom
-0.252 5.224 6.435
4.825 -6.737 0.310
3.042 7.019 -5.580


No. 2
! Rb3U2MnSe6 (GGA-PBE, relaxed); values from VASP
! M_tot   10.02 μB/cell
! Energy relative to the elements, uncorrected   -1089 meV per atom
! Calculated volume   30.51 Å³ per atom
&SYSTEM
  ibrav = 0, nat = 12, ntyp = 4
/
ATOMIC_SPECIES
Se 78.96 Se.upf
Mn 54.94 Mn.upf
Rb 85.47 Rb.upf
U 238.03 U.upf
ATOMIC_POSITIONS angstrom
Se -1.820 -1.962 -0.870
Se -6.934 2.361 -2.402
Se -6.331 0.294 1.262
Se -1.632 2.119 -0.877
Se -2.423 0.105 -4.535
Se -7.122 -1.720 -2.396
Mn 0.000 0.000 0.000
Rb -4.570 -3.987 -1.630
Rb -4.377 0.199 -1.636
Rb -4.184 4.386 -1.643
U -0.773 -2.069 -3.568
U -0.579 2.121 -3.575
CELL_PARAMETERS angstrom
-0.386 6.313 -3.581
-0.966 -6.262 -3.562
-7.402 0.347 3.871


No. 3
! RbUMnSe3 (GGA-PBE, relaxed); values from VASP
! M_tot   13.66 μB/cell
! Energy relative to the elements, uncorrected   -981 meV per atom
! Calculated volume   30.92 Å³ per atom
&SYSTEM
  ibrav = 0, nat = 12, ntyp = 4
/
ATOMIC_SPECIES
Se 78.96 Se.upf
Rb 85.47 Rb.upf
U 238.03 U.upf
Mn 54.94 Mn.upf
ATOMIC_POSITIONS angstrom
Se 1.051 2.646 7.771
Se 1.051 6.222 4.027
Se 3.152 0.335 5.046
Se 3.152 7.880 0.961
Se 1.051 -1.323 8.112
Se 3.152 3.911 1.302
Rb 1.051 1.242 2.207
Rb 3.152 5.315 6.866
U 3.152 0.674 7.923
U 1.051 5.883 1.150
Mn 1.051 -0.974 5.644
Mn 3.152 7.531 3.429
CELL_PARAMETERS angstrom
4.203 0.000 0.000
0.000 9.438 -0.402
0.000 -2.881 9.474


No. 4
! Rb2UMn2Se6 (GGA-PBE, relaxed); values from VASP
! M_tot   10.00 μB/cell
! Energy relative to the elements, uncorrected   -907 meV per atom
! Calculated volume   29.62 Å³ per atom
&SYSTEM
  ibrav = 0, nat = 11, ntyp = 4
/
ATOMIC_SPECIES
Rb 85.47 Rb.upf
Se 78.96 Se.upf
Mn 54.94 Mn.upf
U 238.03 U.upf
ATOMIC_POSITIONS angstrom
Rb 5.082 -0.925 0.098
Rb -1.470 -4.445 -2.184
Se 0.474 -5.572 0.388
Se 3.856 -3.755 1.567
Se 0.416 -2.085 2.020
Se -2.216 -3.247 4.524
Se 1.166 -1.430 5.702
Se 1.224 -4.918 4.071
Mn -0.822 -4.383 2.473
Mn 2.463 -2.619 3.617
U -0.986 -0.816 4.089
CELL_PARAMETERS angstrom
-3.077 -5.309 -2.744
6.689 -0.061 0.658
-1.972 -1.632 8.177